A relaxed structure of Sc3Pd. Source: Alexandria, functional PBE-GGA.

a b c (Å): 3.328 3.093 8.830
angles (deg): 90.00 90.00 90.00
Fractional positions:
Sc: 0.000 0.500 0.468
Sc: 0.500 0.500 0.152
Sc: 0.500 0.000 0.733
Pd: 0.000 0.000 0.981

D(E_F)	6.4	states/eV/cell
VASP energy	-0.4587	Ry per atom